# 1
# LaZrN3

Crystalline LaZrN3 at its relaxed geometry (GGA-PBE, OQMD via LeMat-Bulk).

Summary:
* DFT total energy: -40.42 eV per formula unit

Lattice parameters (Å, degrees): 5.7004 5.7004 7.5470 90.00 90.00 120.00
Closest atoms and distances in Å follow each position.
Space group P-31m (No. 162)
Symmetry-distinct sites (fractional):
La 0.0000 0.0000 0.2415 (multiplicity 2)  3 N 2.25
Zr 0.3333 0.6667 0.5000 (multiplicity 2)  6 N 2.18
N 0.0000 0.3735 0.6641 (multiplicity 6)  2 Zr 2.18, 1 La 2.25


# 2
# NaErCdS3

Crystalline NaErCdS3 at its relaxed geometry (GGA-PBE, OQMD via LeMat-Bulk).

Summary:
* DFT total energy: -27.21 eV per formula unit
* energy above the most stable polymorph in this dataset: 0 meV per atom

Lattice parameters (Å, degrees): 14.1542 3.9980 11.0801 90.00 90.00 90.00
Closest atoms and distances in Å follow each position.
Space group Pnma (No. 62)
Symmetry-distinct sites (fractional):
Na 0.2181 0.2500 0.1863 (multiplicity 4)  5 S 2.86-2.94
Er 0.0344 0.7500 0.8564 (multiplicity 4)  6 S 2.64-2.94
Cd 0.0377 0.2500 0.6012 (multiplicity 4)  4 S 2.49-2.63
S 0.0751 0.2500 0.3692 (multiplicity 4)  3 Cd 2.58-2.63, 1 Na 2.86
S 0.0888 0.7500 0.0838 (multiplicity 4)  3 Er 2.64-2.73, 2 Na 2.94
S 0.1518 0.2500 0.7719 (multiplicity 4)  1 Cd 2.49, 2 Er 2.76


# 3
# GaHg

Crystalline GaHg at its relaxed geometry (GGA-PBE, OQMD via LeMat-Bulk).

Summary:
* DFT total energy: -3.15 eV per formula unit

Lattice parameters (Å, degrees): 5.7765 5.7765 5.7765 90.00 90.00 90.00
Closest atoms and distances in Å follow each position.
Space group Fm-3m (No. 225)
Symmetry-distinct sites (fractional):
Ga 0.0000 0.0000 0.0000 (multiplicity 4)  6 Hg 2.89
Hg 0.0000 0.0000 0.5000 (multiplicity 4)  6 Ga 2.89


# 4
# Li2LaPd2

Crystalline Li2LaPd2 at its relaxed geometry (GGA-PBE, OQMD via LeMat-Bulk).

Summary:
* DFT total energy: -21.96 eV per formula unit

Lattice parameters (Å, degrees): 3.9235 3.9235 12.7518 90.00 90.00 90.00
Closest atoms and distances in Å follow each position.
Space group I4/mmm (No. 139)
Symmetry-distinct sites (fractional):
Li 0.0000 0.5000 0.2500 (multiplicity 4)  4 Pd 2.67, 4 Li 2.77
La 0.0000 0.0000 0.0000 (multiplicity 2)  8 Pd 3.10
Pd 0.0000 0.0000 0.3919 (multiplicity 4)  4 Li 2.67, 1 Pd 2.76


# 5
# ZrN2

Crystalline ZrN2 at its relaxed geometry (GGA-PBE, OQMD via LeMat-Bulk).

Summary:
* DFT total energy: -20.76 eV per formula unit

Lattice parameters (Å, degrees): 6.2985 6.2985 6.2985 90.00 90.00 90.00
Closest atoms and distances in Å follow each position.
Space group Fd-3m (No. 227, origin choice 2)
Symmetry-distinct sites (fractional):
Zr 0.1250 0.1250 0.1250 (multiplicity 8)  12 N 2.61, 4 Zr 2.73
N 0.0000 0.0000 0.5000 (multiplicity 16)  6 N 2.23


# 6
# Ni2Pt2W

Crystalline Ni2Pt2W at its relaxed geometry (GGA-PBE, OQMD via LeMat-Bulk).

Summary:
* DFT total energy: -33.72 eV per formula unit

Lattice parameters (Å, degrees): 3.6440 3.6440 11.1098 90.00 90.00 90.00
Closest atoms and distances in Å follow each position.
Space group I4/mmm (No. 139)
Symmetry-distinct sites (fractional):
Ni 0.0000 0.0000 0.0973 (multiplicity 4)  1 Ni 2.16
Pt 0.0000 0.5000 0.2500 (multiplicity 4)  4 Ni 2.49, 4 Pt 2.58
W 0.0000 0.0000 0.5000 (multiplicity 2)  8 Ni 2.79


# 7
# ZrGe2Os

Crystalline ZrGe2Os at its relaxed geometry (GGA-PBE, OQMD via LeMat-Bulk).

Summary:
* DFT total energy: -29.40 eV per formula unit

Lattice parameters (Å, degrees): 6.5123 6.5123 6.5123 90.00 90.00 90.00
Closest atoms and distances in Å follow each position.
Space group F-43m (No. 216)
Symmetry-distinct sites (fractional):
Zr 0.0000 0.0000 0.0000 (multiplicity 4)  4 Ge 2.82, 4 Os 2.82
Ge 0.0000 0.0000 0.5000 (multiplicity 4)  4 Ge 2.82, 4 Os 2.82
Ge 0.2500 0.2500 0.2500 (multiplicity 4)  4 Ge 2.82, 4 Zr 2.82
Os 0.2500 0.2500 0.7500 (multiplicity 4)  4 Ge 2.82, 4 Zr 2.82


# 8
# Nd2SmAg3

Crystalline Nd2SmAg3 at its relaxed geometry (GGA-PBE, OQMD via LeMat-Bulk).

Summary:
* DFT total energy: -24.37 eV per formula unit

Lattice parameters (Å, degrees): 3.7156 3.7156 11.2490 90.00 90.00 90.00
Closest atoms and distances in Å follow each position.
Space group P4/mmm (No. 123)
Symmetry-distinct sites (fractional):
Nd 0.0000 0.0000 0.1682 (multiplicity 2)  8 Ag 3.24-3.25
Sm 0.0000 0.0000 0.5000 (multiplicity 1)  8 Ag 3.20
Ag 0.5000 0.5000 0.0000 (multiplicity 1)  8 Nd 3.24
Ag 0.5000 0.5000 0.3384 (multiplicity 2)  4 Sm 3.20, 4 Nd 3.25


# 9
# Mg2Tc

Crystalline Mg2Tc at its relaxed geometry (GGA-PBE, OQMD via LeMat-Bulk).

Summary:
* DFT total energy: -13.02 eV per formula unit
* energy above the most stable polymorph in this dataset: 0 meV per atom

Lattice parameters (Å, degrees): 8.8869 5.2213 4.5282 90.00 90.00 90.00
Closest atoms and distances in Å follow each position.
Space group Cmcm (No. 63)
Symmetry-distinct sites (fractional):
Mg 0.1628 0.1593 0.2500 (multiplicity 8)  4 Tc 2.79-3.01, 7 Mg 2.81-3.04
Tc 0.0000 0.3843 0.7500 (multiplicity 4)  2 Tc 2.57, 2 Mg 2.79


# 10
# MgBeZnFe

Crystalline MgBeZnFe at its relaxed geometry (GGA-PBE, OQMD via LeMat-Bulk).

Summary:
* DFT total energy: -14.00 eV per formula unit
* energy above the most stable polymorph in this dataset: 0 meV per atom

Lattice parameters (Å, degrees): 5.8367 5.8367 5.8367 90.00 90.00 90.00
Closest atoms and distances in Å follow each position.
Space group F-43m (No. 216)
Symmetry-distinct sites (fractional):
Mg 0.0000 0.0000 0.0000 (multiplicity 4)  4 Be 2.53, 4 Zn 2.53
Be 0.2500 0.2500 0.7500 (multiplicity 4)  4 Fe 2.53, 4 Mg 2.53
Zn 0.2500 0.2500 0.2500 (multiplicity 4)  4 Fe 2.53, 4 Mg 2.53
Fe 0.0000 0.0000 0.5000 (multiplicity 4)  4 Be 2.53, 4 Zn 2.53


# 11
# HoTm2Fe6Co3

Crystalline HoTm2Fe6Co3 at its relaxed geometry (GGA-PBE, OQMD via LeMat-Bulk).

Summary:
* DFT total energy: -86.54 eV per formula unit

Lattice parameters (Å, degrees): 5.0157 5.0157 24.2262 90.00 90.00 120.00
Closest atoms and distances in Å follow each position.
Space group R-3m (No. 166, hexagonal axes)
Symmetry-distinct sites (fractional):
Ho 0.0000 0.0000 0.0000 (multiplicity 3)  6 Co 2.90, 12 Fe 3.20
Tm 0.0000 0.0000 0.1422 (multiplicity 6)  9 Fe 2.90-3.01, 3 Co 2.96, 3 Tm 3.13
Fe 0.0010 0.5005 0.9178 (multiplicity 18)  3 Co 2.45-2.51, 4 Fe 2.50-2.52
Co 0.0000 0.0000 0.3326 (multiplicity 6)  6 Fe 2.45-2.48
Co 0.0000 0.0000 0.5000 (multiplicity 3)  6 Fe 2.51


# 12
# NdScPt

Crystalline NdScPt at its relaxed geometry (GGA-PBE, OQMD via LeMat-Bulk).

Summary:
* DFT total energy: -17.82 eV per formula unit
* energy above the most stable polymorph in this dataset: 675 meV per atom

Lattice parameters (Å, degrees): 6.5777 6.5777 6.5777 90.00 90.00 90.00
Closest atoms and distances in Å follow each position.
Space group F-43m (No. 216)
Symmetry-distinct sites (fractional):
Nd 0.0000 0.0000 0.0000 (multiplicity 4)  4 Sc 2.85
Sc 0.2500 0.2500 0.2500 (multiplicity 4)  4 Nd 2.85, 4 Pt 2.85
Pt 0.0000 0.0000 0.5000 (multiplicity 4)  4 Sc 2.85